# TlGaTe2, optimized geometry, DFT GGA-PBEsol
data_TlGaTe2
_symmetry_space_group_name_H-M 'I 4/m c m'
_symmetry_Int_Tables_number 140
_symmetry_space_group_name_Hall '-I 4 2c'
_cell_length_a 8.327
_cell_length_b 8.327
_cell_length_c 6.760
_cell_angle_alpha 90.00
_cell_angle_beta 90.00
_cell_angle_gamma 90.00
loop_
_atom_site_label
_atom_site_fract_x
_atom_site_fract_y
_atom_site_fract_z
Tl1 0.000 0.000 0.250
Ga1 0.000 0.500 0.250
Te1 0.174 0.326 0.000
# * total DFT energy (no corrections): -3.59 eV/atom
# * density: 7.50 g cm⁻³